First-principles (SCAN) data for a PBEsol-optimized structure of CeNi2Sn2, as listed in the Alexandria database.

a b c (Å): 4.373 4.373 10.196
angles (deg): 90.00 90.00 90.00
Space group I4/mmm (No. 139)
Asymmetric unit:
Ce 0.000 0.000 0.000
Ni 0.000 0.500 0.250
Sn 0.000 0.000 0.364

Computed properties:
The density of states at the Fermi level is 1.12 states/eV per atom. The value obtained for the total magnetization is 0.18 μB/atom. As for the total energy: -30.2253 eV/atom. The calculation puts the density at 8.43 g/cm3. The formation energy comes out at -0.475 eV per atom.